The following is a DFT calculation (PBE) of a geometry-optimized Tl10Hg4Pd structure.

abc: 8.7980 8.7980 8.7980
angles: 99.80 99.80 131.26
Last column: nearest neighbours and their distance in Å.
Fractional positions:
Tl (0.0444, 0.1411, 0.7160)  1 Pd 2.95, 3 Hg 3.15-3.17
Tl (0.1411, 0.4251, 0.0967)  1 Pd 2.95, 3 Hg 3.15-3.17
Tl (0.2500, 0.7500, 0.5000)  4 Hg 3.16
Tl (0.3284, 0.0444, 0.9033)  1 Pd 2.95, 3 Hg 3.15-3.17
Tl (0.4251, 0.3284, 0.2840)  1 Pd 2.95, 3 Hg 3.15-3.17
Tl (0.5749, 0.6716, 0.7160)  1 Pd 2.95, 3 Hg 3.15-3.17
Tl (0.6716, 0.9556, 0.0967)  1 Pd 2.95, 3 Hg 3.15-3.17
Tl (0.7500, 0.2500, 0.5000)  4 Hg 3.16
Tl (0.8589, 0.5749, 0.9033)  1 Pd 2.95, 3 Hg 3.15-3.17
Tl (0.9556, 0.8589, 0.2840)  1 Pd 2.95, 3 Hg 3.15-3.17
Hg (0.2051, 0.6013, 0.8064)  8 Tl 3.15-3.17
Hg (0.3987, 0.2051, 0.6038)  8 Tl 3.15-3.17
Hg (0.6013, 0.7949, 0.3962)  8 Tl 3.15-3.17
Hg (0.7949, 0.3987, 0.1936)  8 Tl 3.15-3.17
Pd (0.0000, 0.0000, 0.0000)  8 Tl 2.95

Properties
SG: I4/m (87)


The following is a DFT calculation (PBE) of a geometry-optimized Tl3HgPd2 structure.

abc: 5.4838 12.9191 8.8306
angles: 90.00 105.80 90.00
Last column: nearest neighbours and their distance in Å.
Fractional positions:
Tl (0.1807, 0.2321, 0.3348)  3 Pd 2.78-2.94
Tl (0.1807, 0.2679, 0.8348)  3 Pd 2.78-2.94
Tl (0.2188, 0.5851, 0.4990)  5 Pd 2.83-3.05
Tl (0.2188, 0.9149, 0.9990)  5 Pd 2.83-3.05
Tl (0.3007, 0.5258, 0.1364)  4 Pd 2.78-3.03
Tl (0.3007, 0.9742, 0.6364)  4 Pd 2.78-3.03
Tl (0.6993, 0.0258, 0.3636)  4 Pd 2.78-3.03
Tl (0.6993, 0.4742, 0.8636)  4 Pd 2.78-3.03
Tl (0.7812, 0.0851, 0.0010)  5 Pd 2.83-3.05
Tl (0.7812, 0.4149, 0.5010)  5 Pd 2.83-3.05
Tl (0.8193, 0.7321, 0.1652)  3 Pd 2.78-2.94
Tl (0.8193, 0.7679, 0.6652)  3 Pd 2.78-2.94
Hg (0.3567, 0.6924, 0.8501)  2 Pd 2.76-2.77
Hg (0.3567, 0.8076, 0.3501)  2 Pd 2.76-2.77
Hg (0.6433, 0.1924, 0.6499)  2 Pd 2.76-2.77
Hg (0.6433, 0.3076, 0.1499)  2 Pd 2.76-2.77
Pd (0.1642, 0.0059, 0.2968)  1 Hg 2.76, 6 Tl 2.78-3.05, 1 Pd 2.82
Pd (0.1642, 0.4941, 0.7968)  1 Hg 2.76, 6 Tl 2.78-3.05, 1 Pd 2.82
Pd (0.3358, 0.1341, 0.0891)  1 Hg 2.77, 6 Tl 2.78-3.03, 1 Pd 2.82
Pd (0.3358, 0.3659, 0.5891)  1 Hg 2.77, 6 Tl 2.78-3.03, 1 Pd 2.82
Pd (0.6642, 0.6341, 0.4109)  1 Hg 2.77, 6 Tl 2.78-3.03, 1 Pd 2.82
Pd (0.6642, 0.8659, 0.9109)  1 Hg 2.77, 6 Tl 2.78-3.03, 1 Pd 2.82
Pd (0.8358, 0.5059, 0.2032)  1 Hg 2.76, 6 Tl 2.78-3.05, 1 Pd 2.82
Pd (0.8358, 0.9941, 0.7032)  1 Hg 2.76, 6 Tl 2.78-3.05, 1 Pd 2.82

Properties
SG: P2_1/c (14)


The following is a DFT calculation (PBE) of a geometry-optimized Tl2HgPd3 structure.

abc: 4.7460 5.5796 9.2813
angles: 90.00 90.00 90.00
Last column: nearest neighbours and their distance in Å.
Fractional positions:
Tl (0.0000, 0.0000, 0.1697)  6 Pd 2.79-2.85, 1 Hg 3.07
Tl (0.0000, 0.0000, 0.8303)  6 Pd 2.79-2.85, 1 Hg 3.07
Tl (0.5000, 0.5000, 0.3303)  6 Pd 2.79-2.85, 1 Hg 3.07
Tl (0.5000, 0.5000, 0.6697)  6 Pd 2.79-2.85, 1 Hg 3.07
Hg (0.0000, 0.0000, 0.5000)  6 Pd 2.79-2.83, 2 Tl 3.07
Hg (0.5000, 0.5000, 0.0000)  6 Pd 2.79-2.83, 2 Tl 3.07
Pd (0.0000, 0.5000, 0.1659)  4 Tl 2.79-2.82, 2 Hg 2.83, 2 Pd 3.08-3.10
Pd (0.0000, 0.5000, 0.5000)  2 Hg 2.79, 4 Tl 2.85, 2 Pd 3.10
Pd (0.0000, 0.5000, 0.8341)  4 Tl 2.79-2.82, 2 Hg 2.83, 2 Pd 3.08-3.10
Pd (0.5000, 0.0000, 0.0000)  2 Hg 2.79, 4 Tl 2.85, 2 Pd 3.10
Pd (0.5000, 0.0000, 0.3341)  4 Tl 2.79-2.82, 2 Hg 2.83, 2 Pd 3.08-3.10
Pd (0.5000, 0.0000, 0.6659)  4 Tl 2.79-2.82, 2 Hg 2.83, 2 Pd 3.08-3.10

Properties
SG: Immm (71)


The following is a DFT calculation (PBE) of a geometry-optimized Tl3HgPd3 structure.

abc: 6.7200 6.7200 6.6199
angles: 90.00 90.00 91.07
Last column: nearest neighbours and their distance in Å.
Fractional positions:
Tl (0.2281, 0.2281, 0.5000)  6 Pd 2.91-3.03, 2 Hg 3.21
Tl (0.2383, 0.2383, 0.0000)  6 Pd 2.93-2.99, 2 Tl 3.27
Tl (0.2477, 0.7523, 0.0000)  6 Pd 2.89-2.95
Tl (0.7523, 0.2477, 0.0000)  6 Pd 2.89-2.95
Tl (0.7617, 0.7617, 0.0000)  6 Pd 2.93-2.99, 2 Tl 3.27
Tl (0.7719, 0.7719, 0.5000)  6 Pd 2.91-3.03, 2 Hg 3.21
Hg (0.2486, 0.7514, 0.5000)  6 Pd 2.86-2.91
Hg (0.7514, 0.2486, 0.5000)  6 Pd 2.86-2.91
Pd (0.0000, 0.5000, 0.2542)  2 Hg 2.86, 6 Tl 2.89-2.93
Pd (0.0000, 0.5000, 0.7458)  2 Hg 2.86, 6 Tl 2.89-2.93
Pd (0.5000, 0.0000, 0.2542)  2 Hg 2.86, 6 Tl 2.89-2.93
Pd (0.5000, 0.0000, 0.7458)  2 Hg 2.86, 6 Tl 2.89-2.93
Pd (0.5000, 0.5000, 0.2549)  2 Hg 2.91, 6 Tl 2.95-3.03, 1 Pd 3.24
Pd (0.5000, 0.5000, 0.7451)  2 Hg 2.91, 6 Tl 2.95-3.03, 1 Pd 3.24

Properties
E above lowest polymorph, meV per atom: 0
SG: Cmmm (65)


The following is a DFT calculation (PBE) of a geometry-optimized Tl2Hg2Pd3 structure.

abc: 4.6369 4.6429 7.5878
angles: 107.52 107.67 90.60
Last column: nearest neighbours and their distance in Å.
Fractional positions:
Tl (0.1211, 0.1231, 0.2427)  6 Pd 2.85-2.98
Tl (0.8789, 0.8769, 0.7573)  6 Pd 2.85-2.98
Hg (0.3827, 0.3818, 0.7633)  6 Pd 2.83-3.01
Hg (0.6173, 0.6182, 0.2367)  6 Pd 2.83-3.01
Pd (0.2574, 0.7593, 0.5158)  4 Tl 2.85-2.98, 4 Hg 2.87-3.01
Pd (0.5000, 0.0000, 0.0000)  4 Hg 2.83, 4 Tl 2.85-2.86
Pd (0.7426, 0.2407, 0.4842)  4 Tl 2.85-2.98, 4 Hg 2.87-3.01

Properties
SG: P-1 (2)


The following is a DFT calculation (PBE) of a geometry-optimized TlHg6Pd12 structure.

abc: 7.2169 7.2169 7.2169
angles: 101.76 101.76 101.76
Last column: nearest neighbours and their distance in Å.
Fractional positions:
Tl (0.0000, 0.0000, 0.0000)  6 Pd 2.86, 6 Hg 3.09
Hg (0.1752, 0.1784, 0.4445)  7 Pd 2.75-3.04, 2 Hg 3.00
Hg (0.1784, 0.4445, 0.1752)  7 Pd 2.75-3.04, 2 Hg 3.00
Hg (0.4445, 0.1752, 0.1784)  7 Pd 2.75-3.04, 2 Hg 3.00
Hg (0.5555, 0.8248, 0.8216)  7 Pd 2.75-3.04, 2 Hg 3.00
Hg (0.8216, 0.5555, 0.8248)  7 Pd 2.75-3.04, 2 Hg 3.00
Hg (0.8248, 0.8216, 0.5555)  7 Pd 2.75-3.04, 2 Hg 3.00
Pd (0.0010, 0.7441, 0.2548)  4 Hg 2.75-3.04, 6 Pd 2.83-3.05, 1 Tl 2.86
Pd (0.1814, 0.5928, 0.5904)  5 Pd 2.61-2.83, 1 Hg 2.84
Pd (0.2548, 0.0010, 0.7441)  4 Hg 2.75-3.04, 6 Pd 2.83-3.05, 1 Tl 2.86
Pd (0.2559, 0.7452, 0.9990)  4 Hg 2.75-3.04, 6 Pd 2.83-3.05, 1 Tl 2.86
Pd (0.4072, 0.4096, 0.8186)  5 Pd 2.61-2.83, 1 Hg 2.84
Pd (0.4096, 0.8186, 0.4072)  5 Pd 2.61-2.83, 1 Hg 2.84
Pd (0.5904, 0.1814, 0.5928)  5 Pd 2.61-2.83, 1 Hg 2.84
Pd (0.5928, 0.5904, 0.1814)  5 Pd 2.61-2.83, 1 Hg 2.84
Pd (0.7441, 0.2548, 0.0010)  4 Hg 2.75-3.04, 6 Pd 2.83-3.05, 1 Tl 2.86
Pd (0.7452, 0.9990, 0.2559)  4 Hg 2.75-3.04, 6 Pd 2.83-3.05, 1 Tl 2.86
Pd (0.8186, 0.4072, 0.4096)  5 Pd 2.61-2.83, 1 Hg 2.84
Pd (0.9990, 0.2559, 0.7452)  4 Hg 2.75-3.04, 6 Pd 2.83-3.05, 1 Tl 2.86

Properties
SG: R-3 (148)


The following is a DFT calculation (PBE) of a geometry-optimized Tl6Hg3Pd structure.

abc: 11.8622 3.4531 14.6289
angles: 90.00 111.38 90.00
Last column: nearest neighbours and their distance in Å.
Fractional positions:
Tl (0.1038, 0.2500, 0.3496)  2 Pd 2.99, 3 Hg 3.28-3.32
Tl (0.1393, 0.7500, 0.5588)  2 Pd 2.90
Tl (0.1834, 0.2500, 0.0731)  4 Hg 3.14-3.22, 2 Tl 3.45
Tl (0.2497, 0.7500, 0.8763)  2 Pd 2.93
Tl (0.3377, 0.7500, 0.2936)  7 Tl 3.42-3.61, 4 Hg 3.47-3.78
Tl (0.3834, 0.2500, 0.7260)  1 Pd 3.08, 3 Hg 3.17-3.35, 1 Tl 3.42
Tl (0.6166, 0.7500, 0.2740)  1 Pd 3.08, 3 Hg 3.17-3.35, 1 Tl 3.42
Tl (0.6623, 0.2500, 0.7064)  7 Tl 3.42-3.61, 4 Hg 3.47-3.78
Tl (0.7503, 0.2500, 0.1237)  2 Pd 2.93
Tl (0.8166, 0.7500, 0.9269)  4 Hg 3.14-3.22, 2 Tl 3.45
Tl (0.8607, 0.2500, 0.4412)  2 Pd 2.90
Tl (0.8962, 0.7500, 0.6504)  2 Pd 2.99, 3 Hg 3.28-3.32
Hg (0.0020, 0.7500, 0.1447)  1 Pd 2.95, 5 Tl 3.14-3.28
Hg (0.3865, 0.2500, 0.5103)  5 Tl 3.17-3.48, 4 Hg 3.30-3.45
Hg (0.4499, 0.2500, 0.0747)  6 Tl 3.15-3.47, 4 Hg 3.33-3.45
Hg (0.5501, 0.7500, 0.9253)  6 Tl 3.15-3.47, 4 Hg 3.33-3.45
Hg (0.6135, 0.7500, 0.4897)  5 Tl 3.17-3.48, 4 Hg 3.30-3.45
Hg (0.9980, 0.2500, 0.8553)  1 Pd 2.95, 5 Tl 3.14-3.28
Pd (0.1172, 0.2500, 0.7103)  7 Tl 2.90-3.08, 1 Hg 2.95
Pd (0.8828, 0.7500, 0.2897)  7 Tl 2.90-3.08, 1 Hg 2.95

Properties
SG: P2_1/m (11)


The following is a DFT calculation (PBE) of a geometry-optimized Tl2Hg3Pd2 structure.

abc: 10.3072 3.5858 9.6097
angles: 90.00 113.29 90.00
Last column: nearest neighbours and their distance in Å.
Fractional positions:
Tl (0.1473, 0.0000, 0.2879)  3 Pd 2.89-2.90
Tl (0.3527, 0.5000, 0.7121)  3 Pd 2.89-2.90
Tl (0.6473, 0.5000, 0.2879)  3 Pd 2.89-2.90
Tl (0.8527, 0.0000, 0.7121)  3 Pd 2.89-2.90
Hg (0.0000, 0.5000, 0.5000)  4 Pd 2.80
Hg (0.1206, 0.5000, 0.9590)  3 Pd 2.88-3.00, 3 Hg 2.89-3.05
Hg (0.3794, 0.0000, 0.0410)  3 Pd 2.88-3.00, 3 Hg 2.89-3.05
Hg (0.5000, 0.0000, 0.5000)  4 Pd 2.80
Hg (0.6206, 0.0000, 0.9590)  3 Pd 2.88-3.00, 3 Hg 2.89-3.05
Hg (0.8794, 0.5000, 0.0410)  3 Pd 2.88-3.00, 3 Hg 2.89-3.05
Pd (0.1416, 0.0000, 0.7343)  5 Hg 2.80-3.00, 3 Tl 2.89-2.90
Pd (0.3584, 0.5000, 0.2657)  5 Hg 2.80-3.00, 3 Tl 2.89-2.90
Pd (0.6416, 0.5000, 0.7343)  5 Hg 2.80-3.00, 3 Tl 2.89-2.90
Pd (0.8584, 0.0000, 0.2657)  5 Hg 2.80-3.00, 3 Tl 2.89-2.90

Properties
SG: C2/m (12)


The following is a DFT calculation (PBE) of a geometry-optimized Tl8HgPd2 structure.

abc: 8.1920 8.1920 5.6513
angles: 108.89 108.89 64.95
Last column: nearest neighbours and their distance in Å.
Fractional positions:
Tl (0.0808, 0.6784, 0.0590)  2 Pd 2.93-2.97, 1 Hg 3.20
Tl (0.1018, 0.1018, 0.4151)  1 Pd 2.89
Tl (0.3216, 0.9192, 0.9410)  2 Pd 2.93-2.97, 1 Hg 3.20
Tl (0.3451, 0.3451, 0.4393)  2 Pd 2.89-2.97, 1 Hg 3.07
Tl (0.6549, 0.6549, 0.5607)  2 Pd 2.89-2.97, 1 Hg 3.07
Tl (0.6784, 0.0808, 0.0590)  2 Pd 2.93-2.97, 1 Hg 3.20
Tl (0.8982, 0.8982, 0.5849)  1 Pd 2.89
Tl (0.9192, 0.3216, 0.9410)  2 Pd 2.93-2.97, 1 Hg 3.20
Hg (0.5000, 0.5000, 0.0000)  2 Pd 2.81, 2 Tl 3.07
Pd (0.2838, 0.2838, 0.8892)  1 Hg 2.81, 7 Tl 2.89-2.97
Pd (0.7162, 0.7162, 0.1108)  1 Hg 2.81, 7 Tl 2.89-2.97

Properties
SG: C2/m (12)


The following is a DFT calculation (PBE) of a geometry-optimized Tl12Hg5Pd2 structure.

abc: 9.1472 9.1472 8.8436
angles: 95.09 95.09 47.35
Last column: nearest neighbours and their distance in Å.
Fractional positions:
Tl (0.0169, 0.0169, 0.2044)  2 Pd 2.99, 1 Hg 3.20
Tl (0.0877, 0.6101, 0.0089)  4 Hg 3.18-3.44, 4 Tl 3.31-3.55
Tl (0.1245, 0.5647, 0.6085)  1 Pd 2.94, 2 Hg 3.11-3.20, 1 Tl 3.23
Tl (0.3899, 0.9123, 0.9911)  4 Hg 3.18-3.44, 4 Tl 3.31-3.55
Tl (0.4353, 0.8755, 0.3915)  1 Pd 2.94, 2 Hg 3.11-3.20, 1 Tl 3.23
Tl (0.4563, 0.4563, 0.3227)  2 Pd 2.84, 2 Hg 3.01-3.11
Tl (0.5437, 0.5437, 0.6773)  2 Pd 2.84, 2 Hg 3.01-3.11
Tl (0.5647, 0.1245, 0.6085)  1 Pd 2.94, 2 Hg 3.11-3.20, 1 Tl 3.23
Tl (0.6101, 0.0877, 0.0089)  4 Hg 3.18-3.44, 4 Tl 3.31-3.55
Tl (0.8755, 0.4353, 0.3915)  1 Pd 2.94, 2 Hg 3.11-3.20, 1 Tl 3.23
Tl (0.9123, 0.3899, 0.9911)  4 Hg 3.18-3.44, 4 Tl 3.31-3.55
Tl (0.9831, 0.9831, 0.7956)  2 Pd 2.99, 1 Hg 3.20
Hg (0.1555, 0.1555, 0.6694)  2 Pd 3.19, 5 Tl 3.20-3.35
Hg (0.2703, 0.2703, 0.2616)  7 Tl 3.11-3.44
Hg (0.5000, 0.5000, 0.0000)  6 Tl 3.01-3.18
Hg (0.7297, 0.7297, 0.7384)  7 Tl 3.11-3.44
Hg (0.8445, 0.8445, 0.3306)  2 Pd 3.19, 5 Tl 3.20-3.35
Pd (0.1865, 0.8135, 0.5000)  1 Pd 2.74, 6 Tl 2.84-2.99
Pd (0.8135, 0.1865, 0.5000)  1 Pd 2.74, 6 Tl 2.84-2.99

Properties
SG: C2/m (12)


The following is a DFT calculation (PBE) of a geometry-optimized TlHg2Pd6 structure.

abc: 4.9543 4.9543 8.6002
angles: 103.34 103.34 50.11
Last column: nearest neighbours and their distance in Å.
Fractional positions:
Tl (0.0000, 0.0000, 0.0000)  8 Pd 2.82-2.98, 4 Hg 3.13
Hg (0.3111, 0.3111, 0.7575)  10 Pd 2.77-3.02
Hg (0.6889, 0.6889, 0.2425)  10 Pd 2.77-3.02
Pd (0.0124, 0.0124, 0.3383)  3 Hg 2.81-2.87, 8 Pd 2.85-3.00, 1 Tl 2.88
Pd (0.3423, 0.3423, 0.4454)  9 Pd 2.75-2.97, 3 Hg 2.77-2.85
Pd (0.3433, 0.3433, 0.1107)  3 Tl 2.82-2.98, 5 Pd 2.88-3.03, 4 Hg 2.90-3.02
Pd (0.6567, 0.6567, 0.8893)  3 Tl 2.82-2.98, 5 Pd 2.88-3.03, 4 Hg 2.90-3.02
Pd (0.6577, 0.6577, 0.5546)  9 Pd 2.75-2.97, 3 Hg 2.77-2.85
Pd (0.9876, 0.9876, 0.6617)  3 Hg 2.81-2.87, 8 Pd 2.85-3.00, 1 Tl 2.88

Properties
SG: C2/m (12)


The following is a DFT calculation (PBE) of a geometry-optimized Tl2HgPd4 structure.

abc: 3.9932 3.9932 18.9572
angles: 90.00 90.00 90.00
Last column: nearest neighbours and their distance in Å.
Fractional positions:
Tl (0.0000, 0.0000, 0.1355)  8 Pd 2.83-2.95
Tl (0.0000, 0.0000, 0.8645)  8 Pd 2.83-2.95
Tl (0.5000, 0.5000, 0.3645)  8 Pd 2.83-2.95
Tl (0.5000, 0.5000, 0.6355)  8 Pd 2.83-2.95
Hg (0.0000, 0.0000, 0.5000)  2 Pd 2.70
Hg (0.5000, 0.5000, 0.0000)  2 Pd 2.70
Pd (0.0000, 0.0000, 0.3577)  1 Hg 2.70, 4 Tl 2.83, 4 Pd 2.86
Pd (0.0000, 0.0000, 0.6423)  1 Hg 2.70, 4 Tl 2.83, 4 Pd 2.86
Pd (0.0000, 0.5000, 0.2500)  8 Pd 2.82-2.86, 4 Tl 2.95
Pd (0.0000, 0.5000, 0.7500)  8 Pd 2.82-2.86, 4 Tl 2.95
Pd (0.5000, 0.0000, 0.2500)  8 Pd 2.82-2.86, 4 Tl 2.95
Pd (0.5000, 0.0000, 0.7500)  8 Pd 2.82-2.86, 4 Tl 2.95
Pd (0.5000, 0.5000, 0.1423)  1 Hg 2.70, 4 Tl 2.83, 4 Pd 2.86
Pd (0.5000, 0.5000, 0.8577)  1 Hg 2.70, 4 Tl 2.83, 4 Pd 2.86

Properties
E above lowest polymorph, meV per atom: 32
SG: I4/mmm (139)


no.,final energy (Ry per atom),formation energy from the elements (meV/atom)
1,-0.14601,17.6
2,-0.22338,-74.8
3,-0.25708,-62.3
4,-0.24823,-94.7
5,-0.22659,-95.1
6,-0.25794,-9.9
7,-0.15042,-16.9
8,-0.17422,-81.3
9,-0.19693,13.1
10,-0.15603,-2.3
11,-0.28871,-136.3
12,-0.27926,-113.1